# RbYCoO3, optimized geometry, DFT PBE with a Hubbard U
# **Total energy**: -79.78 eV for the cell shown
data_RbYCoO3
_cell_length_a 7.797
_cell_length_b 3.564
_cell_length_c 8.628
_cell_angle_alpha 90.00
_cell_angle_beta 108.12
_cell_angle_gamma 90.00
_space_group_name_H-M_alt 'P 1 21/m 1'
_space_group_IT_number 11
loop_
_space_group_symop_operation_xyz
'x,y,z'
'-x,-y,-z'
'-x,y+1/2,-z'
'x,-y+1/2,z'
loop_
_atom_site_label
_atom_site_type_symbol
_atom_site_fract_x
_atom_site_fract_y
_atom_site_fract_z
Rb1 Rb 0.201 0.250 0.204
Y1 Y 0.340 0.750 0.857
Co1 Co 0.068 0.250 0.618
O1 O 0.142 0.250 0.852
O2 O 0.163 0.750 0.570
O3 O 0.467 0.750 0.128